(1)
MgGaCoO4 (PBE+U, relaxed); energy above the most stable polymorph in this dataset = 0.078 eV per atom; electronic total energy = -0.4384 Ry/atom; total magnetic moment = 4.00 μB/f.u.; SG = P4_122, No. 91
1.0
5.8835 0.0000 0.0000
0.0000 5.8835 0.0000
0.0000 0.0000 8.2346
Mg Ga Co O
4 4 4 16
direct
0.0000 0.2486 0.0000
0.0000 0.7514 0.5000
0.2486 0.0000 0.7500
0.7514 0.0000 0.2500
0.2486 0.5000 0.7500
0.5000 0.2486 0.0000
0.5000 0.7514 0.5000
0.7514 0.5000 0.2500
0.2471 0.2471 0.3750
0.2471 0.7529 0.1250
0.7529 0.2471 0.6250
0.7529 0.7529 0.8750
0.0133 0.2578 0.7506
0.0133 0.7422 0.7494
0.2564 0.4851 0.9913
0.2564 0.5149 0.5087
0.2578 0.0133 0.9994
0.2578 0.9867 0.5006
0.4851 0.2564 0.7587
0.4851 0.7436 0.7413
0.5149 0.2564 0.2413
0.5149 0.7436 0.2587
0.7422 0.0133 0.0006
0.7422 0.9867 0.4994
0.7436 0.4851 0.0087
0.7436 0.5149 0.4913
0.9867 0.2578 0.2494
0.9867 0.7422 0.2506



(2)
MgGaCoO4 (PBE+U, relaxed); energy above the most stable polymorph in this dataset = 0.000 eV per atom; electronic total energy = -0.4441 Ry/atom; total magnetic moment = 0.00 μB/f.u.; SG = P4_122, No. 91
1.0
5.7827 0.0000 0.0000
0.0000 5.7827 0.0000
0.0000 0.0000 8.1200
Mg Ga Co O
4 4 4 16
direct
0.0000 0.2505 0.0000
0.0000 0.7495 0.5000
0.2505 0.0000 0.7500
0.7495 0.0000 0.2500
0.2537 0.2537 0.3750
0.2537 0.7463 0.1250
0.7463 0.2537 0.6250
0.7463 0.7463 0.8750
0.2516 0.5000 0.7500
0.5000 0.2516 0.0000
0.5000 0.7484 0.5000
0.7484 0.5000 0.2500
0.0171 0.2617 0.7489
0.0171 0.7383 0.7511
0.2617 0.0171 0.0011
0.2616 0.4848 0.9867
0.2616 0.5152 0.5133
0.2617 0.9829 0.4989
0.4848 0.2616 0.7633
0.4848 0.7384 0.7367
0.5152 0.2616 0.2367
0.5152 0.7384 0.2633
0.7383 0.0171 0.9989
0.7384 0.4848 0.0133
0.7384 0.5152 0.4867
0.7383 0.9829 0.5011
0.9829 0.2617 0.2511
0.9829 0.7383 0.2489



(3)
MgGaCoO4 (PBE+U, relaxed); energy above the most stable polymorph in this dataset = 0.006 eV per atom; electronic total energy = -0.4436 Ry/atom; total magnetic moment = 0.00 μB/f.u.; SG = P4_122, No. 91
1.0
5.8221 0.0000 0.0000
0.0000 5.8221 0.0000
0.0000 0.0000 8.1864
Mg Ga Co O
4 4 4 16
direct
0.2459 0.2459 0.3750
0.2459 0.7541 0.1250
0.7541 0.2459 0.6250
0.7541 0.7541 0.8750
0.2467 0.5000 0.7500
0.5000 0.2467 0.0000
0.5000 0.7533 0.5000
0.7533 0.5000 0.2500
0.0000 0.2468 0.0000
0.0000 0.7532 0.5000
0.2468 0.0000 0.7500
0.7532 0.0000 0.2500
0.0233 0.2428 0.7652
0.0233 0.7572 0.7348
0.2428 0.0233 0.9848
0.2431 0.4744 0.9935
0.2431 0.5256 0.5065
0.2428 0.9767 0.5152
0.4744 0.2431 0.7565
0.4744 0.7569 0.7435
0.5256 0.2431 0.2435
0.5256 0.7569 0.2565
0.7572 0.0233 0.0152
0.7569 0.4744 0.0065
0.7569 0.5256 0.4935
0.7572 0.9767 0.4848
0.9767 0.2428 0.2348
0.9767 0.7572 0.2652



no.,volume (A^3/atom)
1,10.2
2,9.7
3,9.9